Material: BaZr3
Method: DFT, PBE-GGA
State: relaxed

Cell lengths 6.5908, 9.9104, 3.2740 Å; angles 90.00, 90.00, 90.00 degrees
Space group Cmmm (No. 65)
Symmetry-distinct sites (fractional):
Ba (0.0000, 0.0000, 0.0000)
Zr (0.0000, 0.5000, 0.0000)
Zr (0.2500, 0.2500, 0.5000)

Properties
**Energy of formation**: 2.24 eV per formula unit

---

Material: KRe3Se
Method: DFT, PBE-GGA
State: relaxed

Cell lengths 4.6109, 4.6109, 4.6109 Å; angles 90.00, 90.00, 90.00 degrees
Space group Pm-3m (No. 221)
Symmetry-distinct sites (fractional):
K (0.0000, 0.0000, 0.0000)
Re (0.0000, 0.0000, 0.5000)
Se (0.5000, 0.5000, 0.5000)

Properties
**Formation energy (no corrections)**: 4.04 eV/atom

---

Number 1: distance to the lowest polymorph of the same formula 0.2449 eV/atom. Number 2: distance to the lowest polymorph of the same formula 2.0801 eV/atom.